# GGA+U SiW2IF, relaxed
data_SiW2IF
_chemical_formula_sum 'Si1 W2 I1 F1'
_symmetry_space_group_name_H-M 'P 1'
_symmetry_Int_Tables_number 1
_cell_length_a 4.570
_cell_length_b 4.570
_cell_length_c 5.776
_cell_angle_alpha 90.00
_cell_angle_beta 90.00
_cell_angle_gamma 90.00
loop_
_symmetry_equiv_pos_as_xyz
'x,y,z'
loop_
_atom_site_label
_atom_site_fract_x
_atom_site_fract_y
_atom_site_fract_z
Si1 0.000 0.000 0.000
W1 0.000 0.500 0.500
W2 0.500 0.000 0.500
I1 0.500 0.500 0.000
F1 0.500 0.500 0.500
# - raw total energy (eV per atom) = -3.67
# - V (Å³ per cell) = 120.6
# - magnetization (μB/f.u.) = 7.147
# - space-group type = No. 123
# - N(E_F) (states/eV/f.u.) = 2.5